Record 1
NbCdBr2 | PBE | relaxed

a = 6.992 Å, b = 6.992 Å, c = 6.992 Å
α = 90.00°, β = 90.00°, γ = 90.00°
Space group Fm-3m (No. 225)
Asymmetric unit:
Nb 0.000 0.000 0.000
Cd 0.000 0.000 0.500
Br 0.250 0.250 0.250

Computed properties:
* excess energy over the best structure of this formula in the dataset: 724.3 meV per atom
* formation energy from raw total energies: 1.494 eV/f.u.
* total magnetization: 0.00 μB/cell
* density: 7.09 g cm⁻³
* calculated volume: 341.8 Å³ per cell

***

Record 2
Nb2CdBr | PBE | relaxed

a = 4.052 Å, b = 4.052 Å, c = 20.851 Å
α = 90.00°, β = 90.00°, γ = 90.00°
Space group I-42d (No. 122)
Asymmetric unit:
Nb 0.241 0.250 0.125
Cd 0.000 0.000 0.000
Br 0.000 0.000 0.500

Computed properties:
* excess energy over the best structure of this formula in the dataset: 0.0 meV per atom
* formation energy from raw total energies: 2.497 eV/f.u.
* total magnetization: 0.00 μB/cell
* density: 7.33 g cm⁻³
* calculated volume: 342.4 Å³ per cell

***

Record 3
NbCdBr2 | PBE | relaxed

a = 9.224 Å, b = 9.224 Å, c = 5.924 Å
α = 90.00°, β = 90.00°, γ = 90.00°
Space group I-42d (No. 122)
Asymmetric unit:
Nb 0.000 0.000 0.000
Cd 0.000 0.000 0.500
Br 0.118 0.250 0.125

Computed properties:
* excess energy over the best structure of this formula in the dataset: 297.9 meV per atom
* formation energy from raw total energies: -0.212 eV/f.u.
* total magnetization: 9.97 μB/cell
* density: 4.81 g cm⁻³
* calculated volume: 504.0 Å³ per cell